No. 1
DFT (PBE with a Hubbard U) results for Mn5O7 after structural relaxation.

abc: 3.017 10.356 18.566
angles: 90.00 90.00 90.00
Space group Cmcm (No. 63)
Symmetry-distinct sites (fractional):
Mn  0.000  0.000  0.000 x4
Mn  0.000  0.266  0.078 x8
Mn  0.000  0.476  0.658 x8
O  0.000  0.094  0.608 x8
O  0.000  0.143  0.159 x8
O  0.000  0.359  0.526 x8
O  0.000  0.457  0.250 x4

## Properties
Energy above the lowest structure with this stoichiometry = 0.131 eV/atom
Crystal system = orthorhombic


No. 2
DFT (PBE with a Hubbard U) results for Mn2O3 after structural relaxation.

abc: 5.339 8.841 9.534
angles: 90.00 90.00 90.00
Space group Pna2_1 (No. 33)
Symmetry-distinct sites (fractional):
Mn  0.173  0.160  0.000 x4
Mn  0.174  0.483  0.221 x4
Mn  0.174  0.837  0.226 x4
Mn  0.213  0.145  0.407 x4
O  0.022  0.021  0.850 x4
O  0.039  0.675  0.352 x4
O  0.059  0.335  0.349 x4
O  0.160  0.503  0.633 x4
O  0.163  0.834  0.590 x4
O  0.181  0.164  0.618 x4

## Properties
Crystal system = orthorhombic


No. 3
DFT (PBE with a Hubbard U) results for Mn3O4 after structural relaxation.

abc: 3.067 10.026 9.746
angles: 90.00 90.00 90.00
Space group Pbcm (No. 57)
Symmetry-distinct sites (fractional):
Mn  0.181  0.144  0.250 x4
Mn  0.292  0.615  0.570 x8
O  0.130  0.250  0.000 x4
O  0.290  0.529  0.112 x8
O  0.315  0.703  0.750 x4

## Properties
Crystal system = orthorhombic


No. 4
DFT (PBE with a Hubbard U) results for Mn5O7 after structural relaxation.

abc: 9.861 2.986 8.795
angles: 90.00 106.36 90.00
Space group C2/m (No. 12)
Symmetry-distinct sites (fractional):
Mn  0.000  0.000  0.000 x2
Mn  0.113  0.000  0.420 x4
Mn  0.190  0.500  0.804 x4
O  0.000  0.500  0.500 x2
O  0.029  0.000  0.786 x4
O  0.144  0.500  0.050 x4
O  0.244  0.500  0.370 x4

## Properties
Energy above the lowest structure with this stoichiometry = 0.000 eV/atom
Crystal system = monoclinic


No. 5
DFT (PBE with a Hubbard U) results for Mn2O3 after structural relaxation.

abc: 8.061 10.796 11.620
angles: 112.76 90.10 96.53
Space group P-1 (No. 2)
Symmetry-distinct sites (fractional):
Mn  0.000  0.000  0.000 x1
Mn  0.000  0.000  0.500 x1
Mn  0.000  0.500  0.000 x1
Mn  0.000  0.500  0.500 x1
Mn  0.043  0.299  0.223 x2
Mn  0.059  0.377  0.723 x2
Mn  0.181  0.932  0.722 x2
Mn  0.186  0.856  0.298 x2
Mn  0.201  0.756  0.017 x2
Mn  0.242  0.086  0.248 x2
Mn  0.259  0.741  0.486 x2
Mn  0.273  0.261  0.514 x2
Mn  0.280  0.224  0.996 x2
Mn  0.306  0.629  0.750 x2
Mn  0.369  0.539  0.282 x2
Mn  0.415  0.247  0.783 x2
Mn  0.500  0.000  0.000 x1
Mn  0.500  0.000  0.500 x1
Mn  0.500  0.500  0.000 x1
Mn  0.500  0.500  0.500 x1
O  0.010  0.912  0.826 x2
O  0.018  0.984  0.332 x2
O  0.041  0.180  0.004 x2
O  0.070  0.812  0.430 x2
O  0.078  0.671  0.136 x2
O  0.124  0.593  0.858 x2
O  0.156  0.556  0.369 x2
O  0.159  0.722  0.645 x2
O  0.201  0.451  0.601 x2
O  0.207  0.264  0.353 x2
O  0.224  0.439  0.024 x2
O  0.240  0.403  0.133 x2
O  0.244  0.234  0.666 x2
O  0.287  0.903  0.170 x2
O  0.311  0.099  0.831 x2
O  0.320  0.071  0.428 x2
O  0.322  0.102  0.089 x2
O  0.334  0.823  0.907 x2
O  0.339  0.920  0.593 x2
O  0.377  0.781  0.332 x2
O  0.451  0.444  0.821 x2
O  0.468  0.651  0.460 x2
O  0.487  0.392  0.323 x2
O  0.497  0.691  0.040 x2

## Properties
Crystal system = triclinic


No. 6
DFT (PBE with a Hubbard U) results for Mn5O8 after structural relaxation.

abc: 6.0020 6.0020 15.5450
angles: 90.00 90.00 120.00
Space group R-3m (No. 166, hexagonal axes)
Symmetry-distinct sites (fractional):
Mn  0.0000  0.0000  0.0000 x3
Mn  0.0000  0.0000  0.5000 x3
Mn  0.0000  0.5000  0.0000 x9
O  0.0000  0.0000  0.2700 x6
O  0.0293  0.5146  0.2668 x18

## Properties
Energy above the lowest structure with this stoichiometry = 0.070 eV/atom
Crystal system = trigonal


VASP energy? In order: -88.9; -37.4; -53.4; -90.5; -36.7; -96.0 eV per formula unit.